A relaxed CrTc2HO crystal. Source: the Alexandria database, functional GGA+U.

Calculated values
**Theoretical density**: 6.1 g/cm³
**DFT total energy**: -5.632 eV per atom
**V**: 72.6 Å³/cell

Cell lengths 4.5557, 3.4973, 4.5557 Å; angles 90.00, 90.00, 90.00 degrees
Positions (direct):
1 Cr 0.0000 0.0000 0.0000
2 H 0.5000 0.5000 0.5000
3 Tc 0.0000 0.0000 0.5000
4 Tc 0.5000 0.0000 0.0000
5 O 0.0000 0.5000 0.0000